<w>
Computed, not measured: a relaxed LaLuCu2 crystal at the PBE level of DFT.

```
LaLuCu2
1.0
3.475 0.000 0.000
0.000 3.475 0.000
0.000 0.000 7.199
La Lu Cu
1 1 2
Direct
0.000 0.000 0.000 La
0.000 0.000 0.500 Lu
0.500 0.500 0.287 Cu
0.500 0.500 0.713 Cu
```

## Properties
- mass density (kg/m3) = 8422

<x>
Computed, not measured: a relaxed LaLuCu2 crystal at the PBE level of DFT.

```
LaLuCu2
1.0
0.000 3.536 3.536
3.536 0.000 3.536
3.536 3.536 0.000
La Lu Cu
1 1 2
Direct
0.000 0.000 0.000 La
0.500 0.500 0.500 Lu
0.250 0.250 0.250 Cu
0.750 0.750 0.750 Cu
```

## Properties
- mass density (kg/m3) = 8283

Which of them is most stable, and which least? Most stable: <w>; least stable: <x>.

<w>
Computed, not measured: a relaxed LaMg2Cu2 crystal at the PBE level of DFT.

```
LaMg2Cu2
1.0
5.115 -2.100 0.000
5.115 2.100 0.000
-1.189 0.000 5.116
La Mg Cu
1 2 2
Direct
0.000 0.000 0.000 La
0.347 0.347 0.421 Mg
0.653 0.653 0.579 Mg
0.275 0.275 0.885 Cu
0.725 0.725 0.115 Cu
```

## Properties
- mass density (kg/m3) = 4753

<x>
Computed, not measured: a relaxed LaMg2Cu2 crystal at the PBE level of DFT.

```
LaMg2Cu2
1.0
7.598 0.000 0.000
0.000 7.598 0.000
0.000 0.000 3.660
La Mg Cu
2 4 4
Direct
0.000 0.000 0.000 La
0.500 0.500 0.000 La
0.160 0.340 0.500 Mg
0.340 0.840 0.500 Mg
0.660 0.160 0.500 Mg
0.840 0.660 0.500 Mg
0.117 0.617 0.000 Cu
0.383 0.117 0.000 Cu
0.617 0.883 0.000 Cu
0.883 0.383 0.000 Cu
```

## Properties
- mass density (kg/m3) = 4944

Which of them is most stable, and which least? Most stable: <w>; least stable: <x>.

<w>
Computed, not measured: a relaxed LaMg2Cu2 crystal at the PBE level of DFT.

```
LaMg2Cu2
1.0
-2.377 2.377 4.833
2.377 -2.377 4.833
2.377 2.377 -4.833
La Mg Cu
1 2 2
Direct
0.000 0.000 0.000 La
0.355 0.355 0.000 Mg
0.645 0.645 0.000 Mg
0.250 0.750 0.500 Cu
0.750 0.250 0.500 Cu
```

## Properties
- mass density (kg/m3) = 4784

<x>
Computed, not measured: a relaxed LaMg2Cu2 crystal at the PBE level of DFT.

```
LaMg2Cu2
1.0
8.156 0.000 0.000
0.000 8.156 0.000
0.000 0.000 2.953
La Mg Cu
2 4 4
Direct
0.000 0.000 0.000 La
0.500 0.500 0.000 La
0.124 0.376 0.000 Mg
0.376 0.876 0.000 Mg
0.624 0.124 0.000 Mg
0.876 0.624 0.000 Mg
0.171 0.671 0.500 Cu
0.329 0.171 0.500 Cu
0.671 0.829 0.500 Cu
0.829 0.329 0.500 Cu
```

## Properties
- mass density (kg/m3) = 5319

<y>
Computed, not measured: a relaxed LaMg2Cu2 crystal at the PBE level of DFT.

```
LaMg2Cu2
1.0
-2.082 2.082 6.147
2.082 -2.082 6.147
2.082 2.082 -6.147
La Mg Cu
1 2 2
Direct
0.000 0.000 0.000 La
0.250 0.750 0.500 Mg
0.750 0.250 0.500 Mg
0.398 0.398 0.000 Cu
0.602 0.602 0.000 Cu
```

## Properties
- mass density (kg/m3) = 4902

Which of them is most stable, and which least? Most stable: <y>; least stable: <x>.

<w>
Computed, not measured: a relaxed La2MgCu2 crystal at the PBE level of DFT.

```
La2MgCu2
1.0
8.672 0.000 0.000
0.000 8.672 0.000
0.000 0.000 3.376
La Mg Cu
4 2 4
Direct
0.160 0.340 0.000 La
0.340 0.840 0.000 La
0.660 0.160 0.000 La
0.840 0.660 0.000 La
0.000 0.000 0.000 Mg
0.500 0.500 0.000 Mg
0.129 0.629 0.500 Cu
0.371 0.129 0.500 Cu
0.629 0.871 0.500 Cu
0.871 0.371 0.500 Cu
```

## Properties
- mass density (kg/m3) = 5614

<x>
Computed, not measured: a relaxed La2MgCu2 crystal at the PBE level of DFT.

```
La2MgCu2
1.0
-1.778 1.778 9.933
1.778 -1.778 9.933
1.778 1.778 -9.933
La Mg Cu
2 1 2
Direct
0.124 0.124 0.000 La
0.876 0.876 0.000 La
0.500 0.500 0.000 Mg
0.250 0.750 0.500 Cu
0.750 0.250 0.500 Cu
```

## Properties
- mass density (kg/m3) = 5673

<y>
Computed, not measured: a relaxed La2MgCu2 crystal at the PBE level of DFT.

```
La2MgCu2
1.0
-2.839 2.839 4.055
2.839 -2.839 4.055
2.839 2.839 -4.055
La Mg Cu
2 1 2
Direct
0.250 0.750 0.500 La
0.750 0.250 0.500 La
0.000 0.000 0.000 Mg
0.357 0.357 0.000 Cu
0.643 0.643 0.000 Cu
```

## Properties
- mass density (kg/m3) = 5453

Which of them is most stable, and which least? Most stable: <y>; least stable: <w>.

<w>
Computed, not measured: a relaxed LaMg3Cu crystal at the PBE level of DFT.

```
LaMg3Cu
1.0
6.204 0.000 0.000
0.000 6.204 0.000
0.000 0.000 6.204
La Mg Cu
1 3 1
Direct
0.000 0.000 0.000 La
0.000 0.000 0.500 Mg
0.000 0.500 0.000 Mg
0.500 0.000 0.000 Mg
0.500 0.500 0.500 Cu
```

## Properties
- mass density (kg/m3) = 1914

<x>
Computed, not measured: a relaxed LaMg3Cu crystal at the PBE level of DFT.

```
LaMg3Cu
1.0
4.960 0.000 0.000
0.000 4.960 0.000
0.000 0.000 4.960
La Mg Cu
1 3 1
Direct
0.000 0.000 0.000 La
0.000 0.500 0.500 Mg
0.500 0.000 0.500 Mg
0.500 0.500 0.000 Mg
0.500 0.500 0.500 Cu
```

## Properties
- mass density (kg/m3) = 3747

Which of them is most stable, and which least? Most stable: <x>; least stable: <w>.

<w>
Computed, not measured: a relaxed LaMn2Cu2 crystal at the PBE level of DFT.

```
LaMn2Cu2
1.0
-2.091 2.091 4.782
2.091 -2.091 4.782
2.091 2.091 -4.782
La Mn Cu
1 2 2
Direct
0.000 0.000 0.000 La
0.399 0.399 0.000 Mn
0.601 0.601 0.000 Mn
0.250 0.750 0.500 Cu
0.750 0.250 0.500 Cu
```

## Properties
- mass density (kg/m3) = 7460

<x>
Computed, not measured: a relaxed LaMn2Cu2 crystal at the PBE level of DFT.

```
LaMn2Cu2
1.0
7.543 0.000 0.000
0.000 7.543 0.000
0.000 0.000 2.916
La Mn Cu
2 4 4
Direct
0.000 0.000 0.000 La
0.500 0.500 0.000 La
0.140 0.360 0.000 Mn
0.360 0.860 0.000 Mn
0.640 0.140 0.000 Mn
0.860 0.640 0.000 Mn
0.147 0.647 0.500 Cu
0.353 0.147 0.500 Cu
0.647 0.853 0.500 Cu
0.853 0.353 0.500 Cu
```

## Properties
- mass density (kg/m3) = 7524

Which of them is most stable, and which least? Most stable: <x>; least stable: <w>.

<w>
Computed, not measured: a relaxed LaMn2CuSi crystal at the PBE level of DFT.

```
LaMn2CuSi
1.0
4.635 0.000 0.000
0.000 4.635 0.000
0.000 0.000 4.490
La Mn Cu Si
1 2 1 1
Direct
0.000 0.000 0.000 La
0.000 0.500 0.500 Mn
0.500 0.000 0.500 Mn
0.500 0.500 0.000 Cu
0.500 0.500 0.500 Si
```

## Properties
- mass density (kg/m3) = 5861

<x>
Computed, not measured: a relaxed LaMn2CuSi crystal at the PBE level of DFT.

```
LaMn2CuSi
1.0
4.582 0.000 0.000
0.000 4.582 0.000
0.000 0.000 5.701
La Mn Cu Si
1 2 1 1
Direct
0.000 0.000 0.000 La
0.000 0.500 0.500 Mn
0.500 0.000 0.500 Mn
0.500 0.500 0.000 Cu
0.000 0.000 0.500 Si
```

## Properties
- mass density (kg/m3) = 4722

Which of them is most stable, and which least? Most stable: <w>; least stable: <x>.

<w>
Computed, not measured: a relaxed LaCuMo crystal at the PBE level of DFT.

```
LaCuMo
1.0
-1.547 1.855 5.346
1.547 -1.855 5.346
1.547 1.855 -5.346
La Cu Mo
1 1 1
Direct
0.000 0.000 0.000 La
0.297 0.297 0.000 Cu
0.706 0.706 0.000 Mo
```

## Properties
- mass density (kg/m3) = 8075

<x>
Computed, not measured: a relaxed LaCuMo crystal at the PBE level of DFT.

```
LaCuMo
1.0
2.961 0.000 0.000
-1.481 2.565 0.000
0.000 0.000 7.630
La Cu Mo
1 1 1
Direct
0.000 0.000 0.000 La
0.333 0.667 0.639 Cu
0.667 0.333 0.372 Mo
```

## Properties
- mass density (kg/m3) = 8550

Which of them is most stable, and which least? Most stable: <w>; least stable: <x>.

<w>
Computed, not measured: a relaxed LaCuMo crystal at the PBE level of DFT.

```
LaCuMo
1.0
4.805 0.000 0.000
-2.403 4.162 0.000
0.000 0.000 3.014
La Cu Mo
1 1 1
Direct
0.000 0.000 0.000 La
0.333 0.667 0.500 Cu
0.667 0.333 0.500 Mo
```

## Properties
- mass density (kg/m3) = 8219

<x>
Computed, not measured: a relaxed LaCuMo crystal at the PBE level of DFT.

```
LaCuMo
1.0
0.000 3.311 3.311
3.311 0.000 3.311
3.311 3.311 0.000
La Cu Mo
1 1 1
Direct
0.000 0.000 0.000 La
0.250 0.250 0.250 Cu
0.750 0.750 0.750 Mo
```

## Properties
- mass density (kg/m3) = 6827

<y>
Computed, not measured: a relaxed LaCuMo crystal at the PBE level of DFT.

```
LaCuMo
1.0
0.000 3.287 3.287
3.287 0.000 3.287
3.287 3.287 0.000
La Cu Mo
1 1 1
Direct
0.000 0.000 0.000 La
0.250 0.250 0.250 Cu
0.500 0.500 0.500 Mo
```

## Properties
- mass density (kg/m3) = 6979

Which of them is most stable, and which least? Most stable: <w>; least stable: <x>.

<w>
Computed, not measured: a relaxed LaCu2Mo crystal at the PBE level of DFT.

```
LaCu2Mo
1.0
1.474 0.851 9.546
-1.474 0.851 9.546
0.000 -1.702 9.546
La Cu Mo
1 2 1
Direct
0.000 0.000 0.000 La
0.239 0.239 0.239 Cu
0.761 0.761 0.761 Cu
0.500 0.500 0.500 Mo
```

## Properties
- mass density (kg/m3) = 8366

<x>
Computed, not measured: a relaxed LaCu2Mo crystal at the PBE level of DFT.

```
LaCu2Mo
1.0
4.218 0.000 0.000
0.000 4.218 0.000
0.000 0.000 4.007
La Cu Mo
1 2 1
Direct
0.000 0.000 0.000 La
0.000 0.500 0.500 Cu
0.500 0.000 0.500 Cu
0.500 0.500 0.000 Mo
```

## Properties
- mass density (kg/m3) = 8428

Which of them is most stable, and which least? Most stable: <x>; least stable: <w>.

<w>
Computed, not measured: a relaxed LaCu2Mo crystal at the PBE level of DFT.

```
LaCu2Mo
1.0
3.034 0.000 0.000
0.000 4.258 0.000
-1.510 0.000 5.633
La Cu Mo
1 2 1
Direct
0.000 0.000 0.000 La
0.258 0.000 0.511 Cu
0.377 0.500 0.753 Cu
0.684 0.500 0.365 Mo
```

## Properties
- mass density (kg/m3) = 8258

<x>
Computed, not measured: a relaxed LaCu2Mo crystal at the PBE level of DFT.

```
LaCu2Mo
1.0
2.870 -4.080 0.000
2.870 4.080 0.000
-0.016 0.000 2.954
La Cu Mo
1 2 1
Direct
0.000 0.000 0.000 La
0.000 0.500 0.500 Cu
0.500 0.000 0.500 Cu
0.500 0.500 0.000 Mo
```

## Properties
- mass density (kg/m3) = 8687

<y>
Computed, not measured: a relaxed LaCu2Mo crystal at the PBE level of DFT.

```
LaCu2Mo
1.0
-2.249 2.249 8.976
2.249 -2.249 8.976
2.249 2.249 -8.976
La Cu Mo
2 4 2
Direct
0.000 0.000 0.000 La
0.750 0.250 0.500 La
0.302 0.625 0.177 Cu
0.375 0.552 0.677 Cu
0.448 0.125 0.823 Cu
0.875 0.698 0.323 Cu
0.250 0.750 0.500 Mo
0.500 0.500 0.000 Mo
```

## Properties
- mass density (kg/m3) = 6621

Which of them is most stable, and which least? Most stable: <w>; least stable: <y>.

<w>
Computed, not measured: a relaxed LaCu2Mo crystal at the PBE level of DFT.

```
LaCu2Mo
1.0
2.940 0.000 0.000
0.000 2.940 0.000
0.000 0.000 8.069
La Cu Mo
1 2 1
Direct
0.000 0.000 0.000 La
0.000 0.000 0.533 Cu
0.500 0.500 0.704 Cu
0.500 0.500 0.323 Mo
```

## Properties
- mass density (kg/m3) = 8615

<x>
Computed, not measured: a relaxed LaCu2Mo crystal at the PBE level of DFT.

```
LaCu2Mo
1.0
-2.022 2.022 4.413
2.022 -2.022 4.413
2.022 2.022 -4.413
La Cu Mo
1 2 1
Direct
0.000 0.000 0.000 La
0.500 0.500 0.000 Cu
0.750 0.250 0.500 Cu
0.250 0.750 0.500 Mo
```

## Properties
- mass density (kg/m3) = 8328

Which of them is most stable, and which least? Most stable: <w>; least stable: <x>.